1.
The following is a PBE calculation of a relaxed structure of Nd2Er9Tm3, from Alexandria.

## Properties
Spin magnetization = 0.000 μB per formula unit
Uncorrected energy = -4.548 eV/atom

Geometry as POSCAR:
```
Nd2Er9Tm3
1.0
11.154 -1.769 0.000
11.154 1.769 0.000
-8.956 0.000 11.091
Nd Er Tm
2 9 3
direct
0.000 0.000 0.000
0.639 0.639 0.720
0.052 0.052 0.443
0.071 0.071 0.855
0.250 0.250 0.001
0.404 0.404 0.718
0.591 0.591 0.274
0.684 0.684 0.134
0.731 0.731 0.580
0.915 0.915 0.135
0.946 0.946 0.553
0.268 0.268 0.407
0.322 0.322 0.855
0.369 0.369 0.295
```

***

2.
The following is a PBE calculation of a relaxed structure of AgOs3, from Alexandria.

## Properties
Spin magnetization = 0.000 μB per formula unit
Uncorrected energy = -8.533 eV/atom

Geometry as POSCAR:
```
AgOs3
1.0
-1.387 4.536 2.389
1.387 -4.536 2.389
1.387 4.536 -2.389
Ag Os
1 3
direct
0.000 0.000 0.000
0.124 0.359 0.765
0.507 0.007 0.500
0.594 0.359 0.235
```

***

3.
The following is a PBE calculation of a relaxed structure of PrMoSe3, from Alexandria.

## Properties
Spin magnetization = 0.000 μB per formula unit
ΔE_f (raw) = -109 kJ per mole of atoms

Geometry as POSCAR:
```
PrMoSe3
1.0
7.396 -1.922 0.000
7.396 1.922 0.000
-0.617 0.000 8.320
Pr Mo Se
2 2 6
direct
0.105 0.105 0.393
0.895 0.895 0.607
0.291 0.291 0.113
0.709 0.709 0.887
0.126 0.126 0.022
0.249 0.249 0.677
0.442 0.442 0.329
0.558 0.558 0.671
0.751 0.751 0.323
0.874 0.874 0.978
```

***

4.
The following is a PBE calculation of a relaxed structure of TaPdWC, from Alexandria.

## Properties
Spin magnetization = 0.000 μB per formula unit
Uncorrected energy = -9.560 eV/atom

Geometry as POSCAR:
```
TaPdWC
1.0
2.518 -1.500 0.000
2.518 1.500 0.000
-0.746 0.000 7.503
Ta Pd W C
1 1 1 1
direct
0.000 0.000 0.000
0.387 0.387 0.299
0.440 0.440 0.676
0.082 0.082 0.515
```

***

5.
The following is a PBE calculation of a relaxed structure of Nd6DyYEr2, from Alexandria.

## Properties
Spin magnetization = 0.001 μB per formula unit
Uncorrected energy = -4.766 eV/atom

Geometry as POSCAR:
```
Nd6DyYEr2
1.0
4.624 -7.680 0.000
4.624 7.680 0.000
-1.250 0.000 9.584
Nd Dy Y Er
12 2 2 4
direct
0.011 0.563 0.187
0.117 0.761 0.553
0.239 0.883 0.947
0.292 0.508 0.381
0.437 0.989 0.313
0.492 0.708 0.119
0.508 0.292 0.881
0.563 0.011 0.687
0.708 0.492 0.619
0.761 0.117 0.053
0.883 0.239 0.447
0.989 0.437 0.813
0.411 0.589 0.750
0.589 0.411 0.250
0.027 0.973 0.250
0.973 0.027 0.750
0.199 0.300 0.046
0.300 0.199 0.546
0.700 0.801 0.454
0.801 0.700 0.954
```

***

6.
The following is a PBE calculation of a relaxed structure of Ca6InHg3, from Alexandria.

## Properties
Spin magnetization = 0.000 μB per formula unit
Uncorrected energy = -1.988 eV/atom

Geometry as POSCAR:
```
Ca6InHg3
1.0
9.566 0.000 0.000
0.000 5.455 0.000
-3.411 0.000 11.430
Ca In Hg
12 2 6
direct
0.015 0.250 0.402
0.123 0.750 0.179
0.258 0.250 0.993
0.345 0.750 0.821
0.355 0.250 0.309
0.399 0.250 0.607
0.601 0.750 0.393
0.645 0.750 0.691
0.655 0.250 0.179
0.742 0.750 0.007
0.877 0.250 0.821
0.985 0.750 0.598
0.435 0.750 0.121
0.565 0.250 0.879
0.044 0.750 0.892
0.139 0.250 0.708
0.280 0.750 0.465
0.720 0.250 0.535
0.861 0.750 0.292
0.956 0.250 0.108
```

***

7.
The following is a PBE calculation of a relaxed structure of SmDyThTc, from Alexandria.

## Properties
Spin magnetization = 0.001 μB per formula unit
Uncorrected energy = -6.628 eV/atom

Geometry as POSCAR:
```
SmDyThTc
1.0
2.331 1.346 6.264
-2.331 1.346 6.264
0.000 -2.692 6.264
Sm Dy Th Tc
1 1 1 1
direct
0.000 0.000 0.000
0.213 0.213 0.213
0.443 0.443 0.443
0.801 0.801 0.801
```

***

8.
The following is a PBE calculation of a relaxed structure of AcNbHgO4, from Alexandria.

## Properties
Spin magnetization = 0.000 μB per formula unit
ΔE_f (raw) = -244 kJ per mole of atoms

Geometry as POSCAR:
```
AcNbHgO4
1.0
6.140 -3.616 0.000
6.140 3.616 0.000
-1.796 0.000 7.240
Ac Nb Hg O
2 2 2 8
direct
0.216 0.216 0.341
0.784 0.784 0.659
0.139 0.139 0.769
0.861 0.861 0.231
0.477 0.477 0.771
0.523 0.523 0.229
0.013 0.619 0.366
0.015 0.015 0.254
0.216 0.216 0.015
0.381 0.987 0.634
0.619 0.013 0.366
0.784 0.784 0.985
0.985 0.985 0.746
0.987 0.381 0.634
```

***

9.
The following is a PBE calculation of a relaxed structure of La2Pr3Sn4, from Alexandria.

## Properties
Spin magnetization = 0.000 μB per formula unit
Uncorrected energy = -5.089 eV/atom

Geometry as POSCAR:
```
La2Pr3Sn4
1.0
3.645 -8.868 0.000
3.645 8.868 0.000
0.000 0.000 9.248
La Pr Sn
4 6 8
direct
0.110 0.890 0.911
0.390 0.610 0.411
0.610 0.390 0.589
0.890 0.110 0.089
0.000 0.000 0.500
0.044 0.456 0.750
0.456 0.044 0.250
0.500 0.500 0.000
0.544 0.956 0.750
0.956 0.544 0.250
0.184 0.816 0.558
0.221 0.279 0.750
0.279 0.221 0.250
0.316 0.684 0.058
0.684 0.316 0.942
0.721 0.779 0.750
0.779 0.721 0.250
0.816 0.184 0.442
```

***

10.
The following is a PBE calculation of a relaxed structure of MgAs2Au, from Alexandria.

## Properties
Spin magnetization = 0.000 μB per formula unit
Uncorrected energy = -3.752 eV/atom

Geometry as POSCAR:
```
MgAs2Au
1.0
5.563 -1.856 0.000
5.563 1.856 0.000
-0.985 0.000 4.189
Mg As Au
1 2 1
direct
0.000 0.000 0.000
0.265 0.265 0.317
0.735 0.735 0.683
0.500 0.500 0.500
```

***

11.
The following is a PBE calculation of a relaxed structure of Ca4HgN, from Alexandria.

## Properties
Spin magnetization = 0.149 μB per formula unit
ΔE_f (raw) = -52 kJ per mole of atoms

Geometry as POSCAR:
```
Ca4HgN
1.0
2.436 -9.508 0.000
2.436 9.508 0.000
0.000 0.000 7.078
Ca Hg N
8 2 2
direct
0.000 0.000 0.000
0.000 0.000 0.500
0.176 0.824 0.507
0.176 0.824 0.993
0.415 0.585 0.250
0.585 0.415 0.750
0.824 0.176 0.007
0.824 0.176 0.493
0.399 0.601 0.750
0.601 0.399 0.250
0.092 0.908 0.750
0.908 0.092 0.250
```

***

12.
The following is a PBE calculation of a relaxed structure of HoMnB, from Alexandria.

## Properties
Spin magnetization = 1.397 μB per formula unit
Uncorrected energy = -7.124 eV/atom

Geometry as POSCAR:
```
HoMnB
1.0
3.473 0.000 0.000
0.000 3.473 0.000
0.000 0.000 7.880
Ho Mn B
2 2 2
direct
0.250 0.250 0.189
0.750 0.750 0.811
0.250 0.750 0.500
0.750 0.250 0.500
0.250 0.250 0.654
0.750 0.750 0.346
```

***

13.
The following is a PBE calculation of a relaxed structure of Pm5Nd2SmDy, from Alexandria.

## Properties
Spin magnetization = 0.000 μB per formula unit
Uncorrected energy = -4.465 eV/atom

Geometry as POSCAR:
```
Pm5Nd2SmDy
1.0
-4.390 4.390 8.063
4.390 -4.390 8.063
4.390 4.390 -8.063
Pm Nd Sm Dy
10 4 2 2
direct
0.000 0.000 0.000
0.071 0.571 0.922
0.149 0.071 0.500
0.351 0.851 0.922
0.429 0.351 0.500
0.500 0.500 0.000
0.571 0.649 0.500
0.649 0.149 0.078
0.851 0.929 0.500
0.929 0.429 0.078
0.119 0.381 0.500
0.381 0.881 0.262
0.619 0.119 0.738
0.881 0.619 0.500
0.250 0.250 0.000
0.750 0.750 0.000
0.250 0.750 0.500
0.750 0.250 0.500
```

***

14.
The following is a PBE calculation of a relaxed structure of BaGeOsO6, from Alexandria.

## Properties
Spin magnetization = 2.026 μB per formula unit
ΔE_f (raw) = -154 kJ per mole of atoms

Geometry as POSCAR:
```
BaGeOsO6
1.0
-3.427 3.605 5.066
3.427 -3.605 5.066
3.427 3.605 -5.066
Ba Ge Os O
2 2 2 12
direct
0.340 0.090 0.250
0.660 0.910 0.750
0.000 0.000 0.500
0.000 0.500 0.000
0.000 0.500 0.500
0.500 0.500 0.000
0.067 0.417 0.239
0.067 0.828 0.650
0.068 0.818 0.250
0.322 0.172 0.739
0.322 0.572 0.750
0.322 0.583 0.150
0.678 0.417 0.850
0.678 0.428 0.250
0.678 0.828 0.261
0.932 0.182 0.750
0.933 0.172 0.350
0.933 0.583 0.761
```

***

15.
The following is a PBE calculation of a relaxed structure of SrScGa, from Alexandria.

## Properties
Spin magnetization = 0.000 μB per formula unit
Uncorrected energy = -3.902 eV/atom

Geometry as POSCAR:
```
SrScGa
1.0
3.593 0.000 0.000
1.743 6.130 0.000
1.783 2.114 7.839
Sr Sc Ga
2 2 2
direct
0.078 0.203 0.136
0.922 0.797 0.864
0.341 0.275 0.535
0.659 0.725 0.465
0.329 0.624 0.225
0.671 0.376 0.775
```

***

16.
The following is a PBE calculation of a relaxed structure of Ca2TaHg, from Alexandria.

## Properties
Spin magnetization = 2.721 μB per formula unit
Uncorrected energy = -3.460 eV/atom

Geometry as POSCAR:
```
Ca2TaHg
1.0
0.000 3.700 3.700
3.700 0.000 3.700
3.700 3.700 0.000
Ca Ta Hg
2 1 1
direct
0.000 0.000 0.000
0.250 0.250 0.250
0.500 0.500 0.500
0.750 0.750 0.750
```

***

17.
The following is a PBE calculation of a relaxed structure of ScSi2PdW, from Alexandria.

## Properties
Spin magnetization = 1.110 μB per formula unit
ΔE_f (raw) = 159 kJ per mole of atoms

Geometry as POSCAR:
```
ScSi2PdW
1.0
4.797 0.000 0.000
0.000 4.797 0.000
0.000 0.000 4.675
Sc Si Pd W
1 2 1 1
direct
0.000 0.000 0.000
0.000 0.500 0.000
0.500 0.000 0.000
0.500 0.500 0.500
0.000 0.000 0.500
```

***

18.
The following is a PBE calculation of a relaxed structure of La2Sm, from Alexandria.

## Properties
Spin magnetization = 0.000 μB per formula unit
Uncorrected energy = -4.836 eV/atom

Geometry as POSCAR:
```
La2Sm
1.0
-1.855 1.855 7.830
1.855 -1.855 7.830
1.855 1.855 -7.830
La Sm
2 1
direct
0.165 0.165 0.000
0.835 0.835 0.000
0.500 0.500 0.000
```

***

19.
The following is a PBE calculation of a relaxed structure of TiInFeRu, from Alexandria.

## Properties
Spin magnetization = 0.901 μB per formula unit
Uncorrected energy = -7.278 eV/atom

Geometry as POSCAR:
```
TiInFeRu
1.0
0.000 3.111 3.111
3.111 0.000 3.111
3.111 3.111 0.000
Ti In Fe Ru
1 1 1 1
direct
0.000 0.000 0.000
0.500 0.500 0.500
0.750 0.750 0.750
0.250 0.250 0.250
```

***

20.
The following is a PBE calculation of a relaxed structure of Nd3Dy5Tm, from Alexandria.

## Properties
Spin magnetization = 0.000 μB per formula unit
Uncorrected energy = -4.118 eV/atom

Geometry as POSCAR:
```
Nd3Dy5Tm
1.0
7.654 -5.696 0.000
7.654 5.696 0.000
-6.468 0.000 7.614
Nd Dy Tm
6 10 2
direct
0.000 0.000 0.000
0.008 0.008 0.310
0.478 0.478 0.139
0.500 0.500 0.500
0.522 0.522 0.861
0.992 0.992 0.690
0.090 0.592 0.749
0.219 0.219 0.728
0.243 0.757 0.500
0.278 0.278 0.463
0.408 0.910 0.251
0.592 0.090 0.749
0.722 0.722 0.537
0.757 0.243 0.500
0.781 0.781 0.272
0.910 0.408 0.251
0.252 0.252 0.103
0.748 0.748 0.897
```